{
  "formula": "MgNiGe",
  "functional": "GGA-PBE",
  "state": "relaxed",
  "cell": [[3.984, 0.000, 0.000], [0.000, 6.456, -0.035], [0.000, -0.039, 10.776]],
  "species": ["Mg", "Mg", "Mg", "Mg", "Mg", "Mg", "Ge", "Ge", "Ge", "Ge", "Ge", "Ge", "Ni", "Ni", "Ni", "Ni", "Ni", "Ni"],
  "fractional_positions": [[0.750, 0.501, 0.373], [0.250, 0.015, 0.697], [0.750, 0.985, 0.303], [0.750, 0.663, 0.073], [0.250, 0.499, 0.627], [0.250, 0.337, 0.927], [0.250, 0.787, 0.905], [0.750, 0.293, 0.751], [0.750, 0.787, 0.580], [0.750, 0.213, 0.095], [0.250, 0.213, 0.420], [0.250, 0.707, 0.249], [0.250, 0.980, 0.096], [0.250, 0.842, 0.464], [0.750, 0.657, 0.799], [0.750, 0.158, 0.536], [0.250, 0.343, 0.201], [0.750, 0.020, 0.904]],
  "delta_e_f_ev_per_atom": -0.32,
  "density_g_cm3": 5.6,
  "final_energy_ev_per_atom": -4.321,
  "space_group": "P2_1/m"
}

=====

{
  "formula": "CoGe",
  "functional": "GGA-PBE",
  "state": "relaxed",
  "cell": [[-2.848, -1.986, -0.170], [1.517, 0.603, 3.069], [-1.527, 2.162, 0.330]],
  "species": ["Ge", "Co"],
  "fractional_positions": [[0.333, 0.667, 0.500], [0.000, 0.000, 0.000]],
  "delta_e_f_ev_per_atom": -0.09,
  "density_g_cm3": 7.8,
  "final_energy_ev_per_atom": -5.955,
  "space_group": "P-6m2"
}

=====

{
  "formula": "LaPuNp2S4",
  "functional": "GGA-PBE",
  "state": "relaxed",
  "cell": [[-1.774, -2.981, -1.916], [4.433, 0.713, -5.214], [2.589, -4.503, 4.607]],
  "species": ["La", "Pu", "Np", "Np", "S", "S", "S", "S"],
  "fractional_positions": [[0.000, 0.000, 0.000], [0.500, 0.500, 0.000], [0.500, 0.000, 0.500], [0.000, 0.500, 0.500], [0.500, 0.261, 0.264], [0.500, 0.739, 0.736], [0.000, 0.254, 0.742], [0.000, 0.746, 0.258]],
  "density_g_cm3": 9.2,
  "final_energy_ev_per_atom": -9.344,
  "space_group": "P2/m"
}